Density functional theory data (PBE) for YCoBr2 after structural relaxation.

Geometry as CIF:
```
data_YCoBr2
_chemical_formula_sum 'Y2 Co2 Br4'
_symmetry_space_group_name_H-M 'C 1 2/m 1'
_symmetry_Int_Tables_number 12
_cell_length_a 15.2163
_cell_length_b 3.7288
_cell_length_c 4.0838
_cell_angle_alpha 90.00
_cell_angle_beta 90.82
_cell_angle_gamma 90.00
loop_
_symmetry_equiv_pos_as_xyz
'x,y,z'
'-x,-y,-z'
'-x,y,-z'
'x,-y,z'
'x+1/2,y+1/2,z'
'-x+1/2,-y+1/2,-z'
'-x+1/2,y+1/2,-z'
'x+1/2,-y+1/2,z'
loop_
_atom_site_label
_atom_site_type_symbol
_atom_site_fract_x
_atom_site_fract_y
_atom_site_fract_z
Y1 Y 0.0000 0.0000 0.0000
Co1 Co 0.0000 0.5000 0.5000
Br1 Br 0.1362 0.5000 0.7584
```

Properties
Spin magnetization (μB/atom): 0.02
Polymorph energy (0 for the lowest one) (meV/atom): 0.0
Electronic total energy (eV per cell): -39.80
Uncorrected formation energy (eV per atom): -0.746


Density functional theory data (PBE) for CdCo after structural relaxation.

Geometry as CIF:
```
data_CdCo
_chemical_formula_sum 'Cd2 Co2'
_symmetry_space_group_name_H-M 'P 63/m m c'
_symmetry_Int_Tables_number 194
_symmetry_space_group_name_Hall '-P 6c 2c'
_cell_length_a 4.4933
_cell_length_b 4.4933
_cell_length_c 5.1874
_cell_angle_alpha 90.00
_cell_angle_beta 90.00
_cell_angle_gamma 120.00
loop_
_atom_site_label
_atom_site_type_symbol
_atom_site_fract_x
_atom_site_fract_y
_atom_site_fract_z
Cd1 Cd 0.3333 0.6667 0.2500
Co1 Co 0.3333 0.6667 0.7500
```

Properties
Spin magnetization (μB/atom): 0.79
Energy of formation from the pure elements (eV/atom): 1.1147
Electronic total energy (eV per cell): -11.58